{
  "formula": "Cs2PaS2O2",
  "functional": "GGA-PBE",
  "state": "relaxed",
  "formation_energy_uncorrected_ev_per_atom": -1.9886,
  "dos_at_fermi_per_ev_cell": 1.5,
  "total_energy_ev_per_atom": -6.18,
  "density_g_cm3": 5.23,
  "lattice_angstrom": [[7.262, -2.289, 0.000], [7.262, 2.289, 0.000], [-2.702, 0.000, 5.661]],
  "species": ["Cs", "Cs", "Pa", "S", "S", "O", "O"],
  "frac_coords": [[0.202, 0.202, 0.202], [0.798, 0.798, 0.798], [0.000, 0.000, 0.500], [0.500, 0.500, 0.221], [0.500, 0.500, 0.779], [0.147, 0.147, 0.646], [0.853, 0.853, 0.354]]
}

{
  "formula": "SrSnSeS",
  "functional": "GGA-PBE",
  "state": "relaxed",
  "formation_energy_uncorrected_ev_per_atom": -1.2568,
  "total_energy_ev_per_atom": -4.58,
  "density_g_cm3": 4.57,
  "lattice_angstrom": [[4.452, 0.000, 0.000], [0.000, 4.286, 0.000], [-0.002, 0.000, 6.043]],
  "species": ["Sr", "Sn", "Se", "S"],
  "frac_coords": [[0.000, 0.000, 0.000], [0.456, 0.500, 0.499], [0.496, 0.500, 0.002], [0.065, 0.000, 0.500]]
}

{
  "formula": "Ba2NaPb4Au3",
  "functional": "GGA-PBE",
  "state": "relaxed",
  "dos_at_fermi_per_ev_cell": 5.8,
  "total_energy_ev_per_atom": -3.38,
  "delta_e_f_ev_per_atom": -0.400,
  "density_g_cm3": 9.42,
  "lattice_angstrom": [[4.988, 0.000, 0.000], [0.000, 4.988, 0.000], [0.000, 0.000, 12.161]],
  "species": ["Ba", "Ba", "Na", "Pb", "Pb", "Pb", "Pb", "Au", "Au", "Au"],
  "frac_coords": [[0.000, 0.500, 0.249], [0.500, 0.000, 0.751], [0.500, 0.500, 0.000], [0.000, 0.000, 0.500], [0.000, 0.500, 0.864], [0.500, 0.000, 0.136], [0.500, 0.500, 0.500], [0.000, 0.000, 0.000], [0.000, 0.500, 0.632], [0.500, 0.000, 0.368]]
}

{
  "formula": "SrCoPIr2",
  "functional": "GGA-PBE",
  "state": "relaxed",
  "dos_at_fermi_per_ev_cell": 5.3,
  "total_energy_ev_per_atom": -5.96,
  "delta_e_f_ev_per_atom": 0.425,
  "density_g_cm3": 9.75,
  "lattice_angstrom": [[4.762, 0.000, 0.000], [0.000, 4.762, 0.000], [0.000, 0.000, 4.222]],
  "species": ["Sr", "Co", "P", "Ir", "Ir"],
  "frac_coords": [[0.000, 0.000, 0.000], [0.500, 0.500, 0.500], [0.500, 0.500, 0.000], [0.000, 0.500, 0.500], [0.500, 0.000, 0.500]]
}